Below is crystalline K2HfTaO6 at its relaxed geometry, with properties calculated at the PBE-GGA level.

Calculated values
Energy relative to the elements, uncorrected (eV per atom): -2.6189
Space group: Fm-3m, No. 225

a b c (Å): 5.8027 5.8027 5.8027
angles (deg): 60.00 60.00 60.00
Last column: nearest neighbours and their distance in Å.
Fractional coordinates of all 10 atoms:
K 0.2500 0.2500 0.2500  12 O 2.90
K 0.7500 0.7500 0.7500  12 O 2.90
Hf 0.0000 0.0000 0.0000  6 O 2.09
Ta 0.5000 0.5000 0.5000  6 O 2.01
O 0.2553 0.2553 0.7447  1 Ta 2.01, 1 Hf 2.09
O 0.2553 0.7447 0.2553  1 Ta 2.01, 1 Hf 2.09
O 0.2553 0.7447 0.7447  1 Ta 2.01, 1 Hf 2.09
O 0.7447 0.2553 0.2553  1 Ta 2.01, 1 Hf 2.09
O 0.7447 0.2553 0.7447  1 Ta 2.01, 1 Hf 2.09
O 0.7447 0.7447 0.2553  1 Ta 2.01, 1 Hf 2.09


Below is crystalline VTcH at its relaxed geometry, with properties calculated at the PBE-GGA level.

Calculated values
ΔE to the lowest computed polymorph (meV/atom): 378.6
Space group: I4mm, No. 107

a b c (Å): 4.3913 4.3913 4.3913
angles (deg): 140.66 140.66 56.85
Last column: nearest neighbours and their distance in Å.
Fractional coordinates of all 3 atoms:
V 0.0000 0.0000 0.0000  1 H 1.91
Tc 0.3099 0.3099 0.0000  4 H 2.14
H 0.7527 0.7527 0.0000  1 V 1.91, 4 Tc 2.14


Below is crystalline ZrZn2Fe at its relaxed geometry, with properties calculated at the PBE-GGA level.

Calculated values
VASP energy (eV per atom): -4.9580
Space group: Pmmm, No. 47

a b c (Å): 3.7750 3.7913 4.3788
angles (deg): 90.00 90.00 90.00
Last column: nearest neighbours and their distance in Å.
Fractional coordinates of all 4 atoms:
Zr 0.0000 0.0000 0.0000  4 Fe 2.68, 8 Zn 2.89-2.90
Zn 0.0000 0.5000 0.5000  4 Zn 2.68, 4 Fe 2.89, 4 Zr 2.90
Zn 0.5000 0.0000 0.5000  4 Zn 2.68, 4 Zr 2.89, 4 Fe 2.90
Fe 0.5000 0.5000 0.0000  4 Zr 2.68, 8 Zn 2.89-2.90


Below is crystalline Y2In2Hg at its relaxed geometry, with properties calculated at the PBE-GGA level.

Calculated values
ΔE to the lowest computed polymorph (meV/atom): 42.6
Space group: P4/mbm, No. 127

a b c (Å): 7.4620 7.4620 4.7613
angles (deg): 90.00 90.00 90.00
Last column: nearest neighbours and their distance in Å.
Fractional coordinates of all 10 atoms:
Y 0.1674 0.3326 0.0000  6 In 3.15-3.30
Y 0.3326 0.8326 0.0000  6 In 3.15-3.30
Y 0.6674 0.1674 0.0000  6 In 3.15-3.30
Y 0.8326 0.6674 0.0000  6 In 3.15-3.30
In 0.1368 0.6368 0.5000  1 In 2.89, 2 Hg 2.90, 2 Y 3.15
In 0.3632 0.1368 0.5000  1 In 2.89, 2 Hg 2.90, 2 Y 3.15
In 0.6368 0.8632 0.5000  1 In 2.89, 2 Hg 2.90, 2 Y 3.15
In 0.8632 0.3632 0.5000  1 In 2.89, 2 Hg 2.90, 2 Y 3.15
Hg 0.0000 0.0000 0.5000  4 In 2.90
Hg 0.5000 0.5000 0.5000  4 In 2.90


Below is crystalline Pm2HgS2O2 at its relaxed geometry, with properties calculated at the PBE-GGA level.

Calculated values
Energy relative to the elements, uncorrected (eV per atom): -1.8940
Space group: P-3m1, No. 164

a b c (Å): 3.8441 3.8441 13.0984
angles (deg): 90.00 90.00 120.00
Last column: nearest neighbours and their distance in Å.
Fractional coordinates of all 7 atoms:
Pm 0.3333 0.6667 0.2190  3 O 2.31
Pm 0.6667 0.3333 0.7810  3 O 2.31
Hg 0.0000 0.0000 0.5000  6 O 3.77, 6 Hg 3.84
S 0.0000 0.0000 0.0781  1 S 2.05
S 0.0000 0.0000 0.9219  1 S 2.05
O 0.3333 0.6667 0.7327  3 Pm 2.31
O 0.6667 0.3333 0.2673  3 Pm 2.31


Below is crystalline KNbBr2Cl at its relaxed geometry, with properties calculated at the PBE-GGA level.

Calculated values
Energy relative to the elements, uncorrected (eV per atom): 0.5556
Space group: P4/mmm, No. 123

a b c (Å): 5.9957 5.9957 5.2924
angles (deg): 90.00 90.00 90.00
Last column: nearest neighbours and their distance in Å.
Fractional coordinates of all 5 atoms:
K 0.0000 0.0000 0.0000  2 Cl 2.65
Nb 0.5000 0.5000 0.0000  8 Br 4.00, 4 K 4.24
Br 0.0000 0.5000 0.5000  2 Cl 3.00
Br 0.5000 0.0000 0.5000  2 Cl 3.00
Cl 0.0000 0.0000 0.5000  2 K 2.65